! La3PmTl4 (GGA-PBE, relaxed); values from VASP
! **Formation energy**: -0.42 eV per atom
! **Calculated total energy**: -4.0411 eV per atom
&SYSTEM
  ibrav = 0, nat = 8, ntyp = 3
/
ATOMIC_SPECIES
La 138.91 La.upf
Pm 145.00 Pm.upf
Tl 204.38 Tl.upf
CELL_PARAMETERS angstrom
3.944 0.000 0.000
0.000 3.944 0.000
0.000 0.000 15.937
ATOMIC_POSITIONS angstrom
La 0.000 0.000 0.000
La 0.000 0.000 4.051
La 0.000 0.000 11.886
Pm 0.000 0.000 7.969
Tl 1.972 1.972 2.027
Tl 1.972 1.972 6.098
Tl 1.972 1.972 9.839
Tl 1.972 1.972 13.910